Entry 1:
Ti7TcPd2 | Alexandria via LeMat-Bulk | PBE | optimized geometry; E_form = 671 meV per atom; V = 193.45 Å³ per cell; E = -69.30 eV for the cell shown
1.0
0.000 4.590 4.590
4.590 0.000 4.590
4.590 4.590 0.000
Ti Tc Pd
7 1 2
direct
0.000 0.000 0.000
0.248 0.248 0.752
0.248 0.752 0.248
0.248 0.752 0.752
0.752 0.248 0.248
0.752 0.248 0.752
0.752 0.752 0.248
0.500 0.500 0.500
0.250 0.250 0.250
0.750 0.750 0.750



Entry 2:
Nd6SmDy3 | Alexandria via LeMat-Bulk | PBE | optimized geometry; E_form = 124 meV per atom; distance to the lowest polymorph of the same formula = 0 meV per atom; V = 686.26 Å³ per cell; E = -91.78 eV for the cell shown
1.0
4.924 -10.739 0.000
4.924 10.739 0.000
0.000 0.000 6.489
Nd Sm Dy
12 2 6
direct
0.015 0.985 0.500
0.107 0.544 0.023
0.261 0.381 0.272
0.300 0.700 0.500
0.381 0.261 0.772
0.456 0.893 0.023
0.544 0.107 0.523
0.619 0.739 0.272
0.700 0.300 0.000
0.739 0.619 0.772
0.893 0.456 0.523
0.985 0.015 0.000
0.156 0.844 0.710
0.844 0.156 0.210
0.041 0.294 0.686
0.294 0.041 0.186
0.419 0.581 0.792
0.581 0.419 0.292
0.706 0.959 0.686
0.959 0.706 0.186



Entry 3:
MgAs3Br | Alexandria via LeMat-Bulk | PBE | optimized geometry; uncorrected formation energy = 0.960 eV per atom; distance to the lowest polymorph of the same formula = 241 meV per atom; V = 132.27 Å³ per cell; E = -12.42 eV for the cell shown
1.0
5.095 0.000 0.000
0.000 5.095 0.000
0.000 0.000 5.095
Mg As Br
1 3 1
direct
0.000 0.000 0.000
0.000 0.500 0.500
0.500 0.000 0.500
0.500 0.500 0.000
0.500 0.500 0.500